# 1
First-principles (PBE) data for Na9Bi11Pb4 after structural relaxation, as listed in Alexandria.

The structure in POSCAR format:
```
Na9Bi11Pb4
1.0
7.3997 -11.0033 0.0000
7.3997 11.0033 0.0000
0.0000 0.0000 4.5371
Na Bi Pb
9 11 4
Cartesian
0.0000 0.0000 0.0000 Na
5.7569 5.6592 0.0000 Na
5.7172 1.8618 0.0000 Na
9.0425 5.6592 0.0000 Na
5.7172 -1.8618 0.0000 Na
9.0822 1.8618 0.0000 Na
5.7569 -5.6592 0.0000 Na
9.0822 -1.8618 0.0000 Na
9.0425 -5.6592 0.0000 Na
3.9448 3.8782 2.2685 Bi
7.3997 7.9054 2.2685 Bi
3.9613 0.0000 2.2685 Bi
7.3997 3.6124 2.2685 Bi
3.9448 -3.8782 2.2685 Bi
7.3997 0.0000 2.2685 Bi
10.8546 3.8782 2.2685 Bi
7.3997 -3.6124 2.2685 Bi
10.8381 0.0000 2.2685 Bi
7.3997 -7.9054 2.2685 Bi
10.8546 -3.8782 2.2685 Bi
2.3799 2.0301 0.0000 Pb
2.3799 -2.0301 0.0000 Pb
12.4195 2.0301 0.0000 Pb
12.4195 -2.0301 0.0000 Pb
```

Results
Formation enthalpy at 0 K   -3.80 eV per formula unit
Magnetization   0.0 μB per formula unit
Symmetry   No. 65

=====

# 2
First-principles (PBE) data for Na2Bi6Pb after structural relaxation, as listed in Alexandria.

The structure in POSCAR format:
```
Na2Bi6Pb
1.0
8.6121 -4.9648 0.0000
8.6121 4.9648 0.0000
-0.0327 0.0000 3.3662
Na Bi Pb
2 6 1
Cartesian
2.8687 0.0000 0.0094 Na
14.3229 0.0000 3.3569 Na
5.6895 1.6760 1.6818 Bi
8.5958 3.3484 1.6831 Bi
5.6895 -1.6760 1.6818 Bi
11.5020 1.6760 1.6844 Bi
8.5958 -3.3484 1.6831 Bi
11.5020 -1.6760 1.6844 Bi
8.6121 0.0000 0.0000 Pb
```

Results
Formation enthalpy at 0 K   -0.87 eV per formula unit
Magnetization   0.0 μB per formula unit
Symmetry   No. 12

=====

# 3
First-principles (PBE) data for Na2Bi4Pb5 after structural relaxation, as listed in Alexandria.

The structure in POSCAR format:
```
Na2Bi4Pb5
1.0
5.8403 -3.3844 0.0000
5.8403 3.3844 0.0000
-3.5715 0.0000 8.9394
Na Bi Pb
2 4 5
Cartesian
-0.0135 0.0000 3.1322 Na
8.1228 0.0000 5.8072 Na
1.5703 0.0000 0.0264 Bi
2.2744 0.0000 5.6752 Bi
5.8348 0.0000 3.2642 Bi
6.5390 0.0000 8.9130 Bi
2.9274 1.6856 2.6624 Pb
5.1819 1.6856 6.2770 Pb
5.8403 0.0000 0.0000 Pb
2.9274 -1.6856 2.6624 Pb
5.1819 -1.6856 6.2770 Pb
```

Results
Formation enthalpy at 0 K   -0.67 eV per formula unit
Magnetization   0.0 μB per formula unit
Symmetry   No. 12

=====

Sequential final energy output: -3.05 -3.39 -3.40 eV per atom